No. 1
Crystalline Rb2NaInCl6 at its relaxed geometry, computed with GGA-PBE.

Properties
ΔE to the lowest computed polymorph = 0.00 eV per formula unit
Calculated total energy = -3.337 eV/atom
Symmetry = No. 14
ΔE_f (raw) = -16.30 eV/f.u.
V = 593.9 Å³/cell

a = 7.449 Å, b = 7.527 Å, c = 10.593 Å
α = 90.00°, β = 90.06°, γ = 90.00°
Fractional positions:
Rb (0.010, 0.958, 0.250)
Rb (0.510, 0.542, 0.750)
Rb (0.990, 0.042, 0.750)
Rb (0.490, 0.458, 0.250)
Na (0.500, 0.000, 0.000)
Na (0.000, 0.500, 0.500)
In (0.500, 0.000, 0.500)
In (0.000, 0.500, 0.000)
Cl (0.273, 0.701, 0.031)
Cl (0.773, 0.799, 0.531)
Cl (0.727, 0.299, 0.969)
Cl (0.227, 0.201, 0.469)
Cl (0.301, 0.726, 0.471)
Cl (0.801, 0.774, 0.971)
Cl (0.699, 0.274, 0.529)
Cl (0.199, 0.226, 0.029)
Cl (0.941, 0.507, 0.238)
Cl (0.441, 0.993, 0.738)
Cl (0.059, 0.493, 0.762)
Cl (0.559, 0.007, 0.262)

---

No. 2
Crystalline Rb2NaInCl6 at its relaxed geometry, computed with GGA-PBE.

Properties
ΔE to the lowest computed polymorph = 0.08 eV per formula unit
Calculated total energy = -3.329 eV/atom
Symmetry = No. 225
ΔE_f (raw) = -16.22 eV/f.u.
V = 298.7 Å³/cell

a = 7.503 Å, b = 7.503 Å, c = 7.503 Å
α = 60.00°, β = 60.00°, γ = 60.00°
Fractional positions:
Rb (0.250, 0.250, 0.250)
Rb (0.750, 0.750, 0.750)
Na (0.500, 0.500, 0.500)
In (0.000, 0.000, 0.000)
Cl (0.240, 0.760, 0.760)
Cl (0.240, 0.760, 0.240)
Cl (0.760, 0.240, 0.760)
Cl (0.760, 0.760, 0.240)
Cl (0.240, 0.240, 0.760)
Cl (0.760, 0.240, 0.240)

---

No. 3
Crystalline NaInRe2Cl at its relaxed geometry, computed with GGA-PBE.

Properties
Calculated total energy = -4.903 eV/atom
Symmetry = No. 123
ΔE_f (raw) = 6.29 eV/f.u.
V = 93.9 Å³/cell

a = 4.438 Å, b = 4.765 Å, c = 4.438 Å
α = 90.00°, β = 90.00°, γ = 90.00°
Fractional positions:
Re (0.000, 0.000, 0.500)
Re (0.500, 0.000, 0.000)
Cl (0.000, 0.000, 0.000)
Na (0.000, 0.500, 0.000)
In (0.500, 0.500, 0.500)

---

No. 4
Crystalline NaIn2RuCl at its relaxed geometry, computed with GGA-PBE.

Properties
Calculated total energy = -2.984 eV/atom
Symmetry = No. 123
ΔE_f (raw) = 3.00 eV/f.u.
V = 135.0 Å³/cell

a = 5.409 Å, b = 4.614 Å, c = 5.409 Å
α = 90.00°, β = 90.00°, γ = 90.00°
Fractional positions:
Ru (0.500, 0.500, 0.500)
Cl (0.000, 0.000, 0.000)
Na (0.000, 0.500, 0.000)
In (0.000, 0.000, 0.500)
In (0.500, 0.000, 0.000)

---

No. 5
Crystalline NaInSCl2 at its relaxed geometry, computed with GGA-PBE.

Properties
ΔE to the lowest computed polymorph = 2.71 eV per formula unit
Calculated total energy = -2.707 eV/atom
Symmetry = No. 123
ΔE_f (raw) = -1.66 eV/f.u.
V = 145.7 Å³/cell

a = 5.268 Å, b = 5.268 Å, c = 5.251 Å
α = 90.00°, β = 90.00°, γ = 90.00°
Fractional positions:
Na (0.000, 0.000, 0.000)
S (0.000, 0.000, 0.500)
Cl (0.000, 0.500, 0.000)
Cl (0.500, 0.000, 0.000)
In (0.500, 0.500, 0.500)

---

No. 6
Crystalline NaInSCl2 at its relaxed geometry, computed with GGA-PBE.

Properties
ΔE to the lowest computed polymorph = 0.00 eV per formula unit
Calculated total energy = -3.249 eV/atom
Symmetry = No. 123
ΔE_f (raw) = -4.37 eV/f.u.
V = 138.0 Å³/cell

a = 5.284 Å, b = 5.284 Å, c = 4.942 Å
α = 90.00°, β = 90.00°, γ = 90.00°
Fractional positions:
Na (0.500, 0.500, 0.500)
S (0.000, 0.000, 0.500)
Cl (0.000, 0.500, 0.000)
Cl (0.500, 0.000, 0.000)
In (0.000, 0.000, 0.000)

---

No. 7
Crystalline Na2SmInCl6 at its relaxed geometry, computed with GGA-PBE.

Properties
Calculated total energy = -3.916 eV/atom
Symmetry = No. 146
ΔE_f (raw) = -17.99 eV/f.u.
V = 301.9 Å³/cell

a = 7.273 Å, b = 7.273 Å, c = 7.816 Å
α = 62.26°, β = 62.26°, γ = 59.99°
Fractional positions:
Na (0.520, 0.520, 0.439)
Na (0.007, 0.007, 0.978)
Sm (0.323, 0.323, 0.032)
In (0.805, 0.805, 0.586)
Cl (0.586, 0.245, 0.233)
Cl (0.245, 0.935, 0.233)
Cl (0.935, 0.587, 0.233)
Cl (0.367, 0.719, 0.760)
Cl (0.719, 0.154, 0.760)
Cl (0.154, 0.367, 0.760)

---

No. 8
Crystalline Na2InSnCl6 at its relaxed geometry, computed with GGA-PBE.

Properties
Calculated total energy = -3.313 eV/atom
Symmetry = No. 146
ΔE_f (raw) = -12.67 eV/f.u.
V = 284.9 Å³/cell

a = 7.118 Å, b = 7.119 Å, c = 7.683 Å
α = 62.40°, β = 62.41°, γ = 59.98°
Fractional positions:
Na (0.517, 0.517, 0.449)
Na (0.017, 0.017, 0.950)
In (0.821, 0.821, 0.538)
Sn (0.321, 0.321, 0.038)
Cl (0.607, 0.212, 0.258)
Cl (0.211, 0.923, 0.259)
Cl (0.923, 0.607, 0.258)
Cl (0.430, 0.715, 0.755)
Cl (0.715, 0.101, 0.755)
Cl (0.101, 0.429, 0.755)

---

> Among the records above, which one has the lowest calculated total energy?

NaInRe2Cl